[1]
Material: CsSr3Os
Method: DFT, SCAN
State: PBEsol geometry

Summary:
Calculated formation energy in meV/atom: 2090.0
Density of states at the Fermi level in states/eV per atom: 1.494
Magnetic moment in μB per atom: 0.335
Crystal system: cubic

Cell: 5.817 5.817 5.817 Å, 90.00 90.00 90.00°
Space group Pm-3m (No. 221)
Inequivalent atoms, fractional coordinates:
Cs  0.000  0.000  0.000 (multiplicity 1)
Sr  0.000  0.000  0.500 (multiplicity 3)
Os  0.500  0.500  0.500 (multiplicity 1)

***

[2]
Material: NaTc2MoO
Method: DFT, SCAN
State: PBEsol geometry

Summary:
Density of states at the Fermi level in states/eV per atom: 0.605
Magnetic moment in μB per atom: 0.677
Crystal system: tetragonal
ΔE_f (raw) in eV/atom: 3.04

Cell: 4.477 4.477 4.707 Å, 90.00 90.00 90.00°
Space group P4/mmm (No. 123)
Inequivalent atoms, fractional coordinates:
Na  0.000  0.000  0.000 (multiplicity 1)
Tc  0.000  0.500  0.000 (multiplicity 2)
Mo  0.000  0.000  0.500 (multiplicity 1)
O  0.500  0.500  0.500 (multiplicity 1)

***

[3]
Material: CrPbCl2
Method: DFT, SCAN
State: PBEsol geometry

Summary:
Density of states at the Fermi level in states/eV per atom: 0.949
Magnetic moment in μB per atom: 1.031
Crystal system: trigonal
Energy above the most stable polymorph in this dataset in meV per atom: 0
ΔE_f (raw) in eV/atom: -0.79

Cell: 3.4380 3.4380 27.9540 Å, 90.00 90.00 120.00°
Space group R-3m (No. 166, hexagonal axes)
Inequivalent atoms, fractional coordinates:
Cr  0.0000  0.0000  0.0000 (multiplicity 3)
Pb  0.0000  0.0000  0.5000 (multiplicity 3)
Cl  0.0000  0.0000  0.2810 (multiplicity 6)

***

[4]
Material: KSr
Method: DFT, SCAN
State: PBEsol geometry

Summary:
Calculated formation energy in meV/atom: 57.9
Density of states at the Fermi level in states/eV per atom: 0.933
Magnetic moment in μB per atom: 0.013
Crystal system: orthorhombic

Cell: 4.612 6.993 14.589 Å, 90.00 90.00 90.00°
Space group Cmme (No. 67)
Inequivalent atoms, fractional coordinates:
K  0.000  0.250  0.134 (multiplicity 4)
Sr  0.000  0.250  0.614 (multiplicity 4)

***

[5]
Material: Sr2Re2Pd
Method: DFT, SCAN
State: PBEsol geometry

Summary:
Calculated formation energy in meV/atom: 1123.1
Density of states at the Fermi level in states/eV per atom: 1.004
Magnetic moment in μB per atom: 0.558
Crystal system: tetragonal

Cell: 6.028 6.028 7.293 Å, 90.00 90.00 90.00°
Space group I4/mmm (No. 139)
Inequivalent atoms, fractional coordinates:
Sr  0.000  0.500  0.250 (multiplicity 4)
Re  0.000  0.000  0.152 (multiplicity 4)
Pd  0.000  0.000  0.500 (multiplicity 2)

***

[6]
Material: Na3AlF6
Method: DFT, SCAN
State: PBEsol geometry

Summary:
Density of states at the Fermi level in states/eV per atom: 0.000
Magnetic moment in μB per atom: 0.000
Crystal system: cubic
Energy above the most stable polymorph in this dataset in meV per atom: 66
ΔE_f (raw) in eV/atom: -3.30

Cell: 7.903 7.903 7.903 Å, 90.00 90.00 90.00°
Space group Fm-3m (No. 225)
Inequivalent atoms, fractional coordinates:
Na  0.000  0.000  0.000 (multiplicity 4)
Na  0.250  0.250  0.250 (multiplicity 8)
Al  0.000  0.000  0.500 (multiplicity 4)
F  0.000  0.000  0.272 (multiplicity 24)